HfNiAsBr2 after structural relaxation, computed with PBE.

V = 142.4 Å³/f.u.
Total magnetization = 1.08 Bohr magnetons per cell
DOS at the Fermi energy = 6.2 states/eV/f.u.
ΔE_f (raw) = 23.74 kJ per mole of atoms

The structure in POSCAR format:
```
HfNiAsBr2
1.0
-0.859 -4.881 1.466
2.985 0.723 4.157
-4.260 1.585 2.783
Br Hf As Ni
2 1 1 1
direct
0.500 0.000 0.000
0.000 0.500 0.000
0.000 0.000 0.000
0.000 0.000 0.500
0.500 0.500 0.500
```